Density functional theory data (PBE-GGA) for an optimized crystal structure of NbSn2Rh2.

## Properties
DOS at the Fermi energy: 0.5442 states/eV per atom
Total energy: -6.747 eV/atom
ΔE_f: -191 meV per atom

abc: 7.6546 7.6546 3.0525
angles: 90.00 90.00 90.00
Positions (direct):
Nb1 0.0000 0.0000 0.0000
Nb2 0.5000 0.5000 0.0000
Sn1 0.1654 0.3346 0.5000
Sn2 0.3346 0.8346 0.5000
Sn3 0.6654 0.1654 0.5000
Sn4 0.8346 0.6654 0.5000
Rh1 0.1322 0.6322 0.0000
Rh2 0.3678 0.1322 0.0000
Rh3 0.6322 0.8678 0.0000
Rh4 0.8678 0.3678 0.0000



Density functional theory data (PBE-GGA) for an optimized crystal structure of NbSnRh2.

## Properties
DOS at the Fermi energy: 1.3765 states/eV per atom
Total energy: -7.480 eV/atom
ΔE_f: -287 meV per atom

abc: 4.1635 4.1635 3.8615
angles: 90.00 90.00 90.00
Positions (direct):
Nb1 0.0000 0.0000 0.0000
Sn1 0.5000 0.5000 0.0000
Rh1 0.0000 0.5000 0.5000
Rh2 0.5000 0.0000 0.5000



Density functional theory data (PBE-GGA) for an optimized crystal structure of NbSnRh.

## Properties
DOS at the Fermi energy: 0.5500 states/eV per atom
Total energy: -7.421 eV/atom
ΔE_f: -280 meV per atom

abc: 3.0556 3.0556 11.3102
angles: 90.00 90.00 90.00
Positions (direct):
Nb1 0.0000 0.0000 0.0000
Nb2 0.5000 0.5000 0.5000
Sn1 0.0000 0.0000 0.3156
Sn2 0.5000 0.5000 0.8156
Rh1 0.0000 0.0000 0.6589
Rh2 0.5000 0.5000 0.1589



Density functional theory data (PBE-GGA) for an optimized crystal structure of NbSnRh4.

## Properties
DOS at the Fermi energy: 0.4904 states/eV per atom
Total energy: -7.395 eV/atom
ΔE_f: -149 meV per atom

abc: 4.2093 4.2093 6.2237
angles: 90.00 90.00 90.00
Positions (direct):
Nb1 0.0000 0.0000 0.0000
Sn1 0.5000 0.5000 0.5000
Rh1 0.0000 0.5000 0.2409
Rh2 0.0000 0.5000 0.7591
Rh3 0.5000 0.0000 0.2409
Rh4 0.5000 0.0000 0.7591



Density functional theory data (PBE-GGA) for an optimized crystal structure of Nb4SnRh7.

## Properties
DOS at the Fermi energy: 0.6993 states/eV per atom
Total energy: -8.129 eV/atom
ΔE_f: -151 meV per atom

abc: 5.8593 5.8593 9.3403
angles: 116.86 116.86 48.40
Positions (direct):
Nb1 0.0866 0.0866 0.2726
Nb2 0.2449 0.2449 0.8309
Nb3 0.7551 0.7551 0.1691
Nb4 0.9134 0.9134 0.7274
Sn1 0.5000 0.5000 0.5000
Rh1 0.0000 0.0000 0.5000
Rh2 0.1419 0.1419 0.0441
Rh3 0.2876 0.2876 0.5927
Rh4 0.4272 0.4272 0.1553
Rh5 0.5728 0.5728 0.8447
Rh6 0.7124 0.7124 0.4073
Rh7 0.8581 0.8581 0.9559



Density functional theory data (PBE-GGA) for an optimized crystal structure of Nb3SnRh.

## Properties
DOS at the Fermi energy: 0.8854 states/eV per atom
Polymorph energy (0 for the lowest one): 0 meV per atom
Total energy: -7.560 eV/atom
ΔE_f: 752 meV per atom

abc: 4.8348 4.8348 4.8348
angles: 90.00 90.00 90.00
Positions (direct):
Nb1 0.0000 0.0000 0.5000
Nb2 0.0000 0.5000 0.0000
Nb3 0.5000 0.0000 0.0000
Sn1 0.5000 0.5000 0.5000
Rh1 0.0000 0.0000 0.0000



Here are the calculated mass density numbers, same order: 9.96 10.36 9.89 9.39 9.65 7.35 (g/cm3).